A plane-wave DFT calculation with PBE-GGA was carried out for a relaxed GdThZn4 crystal.

Computed properties:
DOS(E_F): 3.92 states/eV/f.u.
crystal system: cubic
V: 19.985 Å³/atom
energy of formation from the pure elements: -0.28 eV/atom
raw total energy: -0.1732 Ha/atom

Cell lengths 5.5351, 5.5351, 5.5351 Å; angles 60.00, 60.00, 60.00 degrees
Sites, in units of the cell vectors:
Gd 0.0000 0.0000 0.0000
Th 0.7500 0.7500 0.7500
Zn 0.3743 0.3743 0.3743
Zn 0.3743 0.3743 0.8770
Zn 0.3743 0.8770 0.3743
Zn 0.8770 0.3743 0.3743